Record 1
VSnN2F after structural relaxation. Source: Alexandria, functional PBE+U.

Output
DFT total energy in eV per atom: -6.179

Cell lengths 3.925, 3.925, 4.016 Å; angles 90.00, 90.00, 90.00 degrees
Space group P4/mmm (No. 123)
Asymmetric unit:
V  0.000  0.000  0.000
Sn  0.500  0.500  0.500
N  0.000  0.500  0.000
F  0.000  0.000  0.500

Record 2
VSnN2F after structural relaxation. Source: Alexandria, functional PBE+U.

Output
DFT total energy in eV per atom: -5.413

Cell lengths 4.135, 4.135, 4.102 Å; angles 90.00, 90.00, 90.00 degrees
Space group P4/mmm (No. 123)
Asymmetric unit:
V  0.000  0.000  0.000
Sn  0.500  0.500  0.500
N  0.000  0.500  0.500
F  0.500  0.500  0.000

Record 3
VSnNF2 after structural relaxation. Source: Alexandria, functional PBE+U.

Output
DFT total energy in eV per atom: -5.218

Cell lengths 4.342, 4.342, 4.090 Å; angles 90.00, 90.00, 90.00 degrees
Space group P4/mmm (No. 123)
Asymmetric unit:
V  0.000  0.000  0.000
Sn  0.500  0.500  0.500
N  0.500  0.500  0.000
F  0.000  0.500  0.500

Record 4
VSnNF2 after structural relaxation. Source: Alexandria, functional PBE+U.

Output
DFT total energy in eV per atom: -5.855

Cell lengths 4.118, 4.118, 4.012 Å; angles 90.00, 90.00, 90.00 degrees
Space group P4/mmm (No. 123)
Asymmetric unit:
V  0.000  0.000  0.000
Sn  0.500  0.500  0.500
N  0.000  0.000  0.500
F  0.000  0.500  0.000

Record 5
SnWNF2 after structural relaxation. Source: Alexandria, functional PBE+U.

Output
DFT total energy in eV per atom: -4.855

Cell lengths 4.303, 4.303, 4.368 Å; angles 90.00, 90.00, 90.00 degrees
Space group P4/mmm (No. 123)
Asymmetric unit:
Sn  0.000  0.000  0.000
W  0.500  0.500  0.500
N  0.000  0.000  0.500
F  0.000  0.500  0.000

Record 6
SnWN2F after structural relaxation. Source: Alexandria, functional PBE+U.

Output
DFT total energy in eV per atom: -6.189

Cell lengths 4.101, 4.101, 4.190 Å; angles 90.00, 90.00, 90.00 degrees
Space group P4/mmm (No. 123)
Asymmetric unit:
Sn  0.000  0.000  0.000
W  0.500  0.500  0.500
N  0.000  0.500  0.500
F  0.500  0.500  0.000

Record 7
SnWN2F after structural relaxation. Source: Alexandria, functional PBE+U.

Output
DFT total energy in eV per atom: -5.352

Cell lengths 4.169, 4.169, 3.996 Å; angles 90.00, 90.00, 90.00 degrees
Space group P4/mmm (No. 123)
Asymmetric unit:
Sn  0.000  0.000  0.000
W  0.500  0.500  0.500
N  0.000  0.500  0.000
F  0.000  0.000  0.500

Record 8
SnWNF2 after structural relaxation. Source: Alexandria, functional PBE+U.

Output
DFT total energy in eV per atom: -5.507

Cell lengths 4.326, 4.326, 4.137 Å; angles 90.00, 90.00, 90.00 degrees
Space group P4/mmm (No. 123)
Asymmetric unit:
Sn  0.000  0.000  0.000
W  0.500  0.500  0.500
N  0.500  0.500  0.000
F  0.000  0.500  0.500